Compound: V2InGaO8
Source: Alexandria
Functional: GGA+U
Structure: optimized geometry

Structure (POSCAR):
```
V2InGaO8
1.0
5.721 0.267 0.000
-2.298 5.246 0.000
-1.711 -2.756 4.719
V In Ga O
2 1 1 8
Cartesian
2.860 0.134 2.360 V
1.711 2.756 0.000 V
0.000 0.000 0.000 In
-1.149 2.623 2.360 Ga
1.480 -0.324 1.429 O
0.307 2.368 0.989 O
0.275 -1.431 3.731 O
3.062 -1.306 3.291 O
3.116 3.145 0.989 O
4.241 0.592 1.429 O
2.659 1.574 3.291 O
-0.275 1.431 3.731 O
```

Calculated values
- E_tot (eV per atom) = -6.660